LaPr4Tm8, relaxed, DFT PBE; density = 7.12 g/cm3; formation energy = 0.53 eV per atom; electronic total energy = -52.89 eV/cell
1.0
-3.0168 -4.5138 5.6359
6.6993 -4.0310 0.3320
2.7029 4.9729 5.4041
Pr La Tm
4 1 8
Direct
0.5000 0.0000 0.5000
0.5000 0.5000 0.0000
0.0000 0.5000 0.5000
0.0000 0.0000 0.0000
0.5000 0.5000 0.5000
0.7617 0.2400 0.7617
0.2400 0.7617 0.7617
0.2389 0.2389 0.2389
0.2383 0.7600 0.2383
0.2383 0.2383 0.7600
0.7617 0.7617 0.2400
0.7611 0.7611 0.7611
0.7600 0.2383 0.2383